The following is a DFT calculation (PBE) of a geometry-optimized SrGa3Pd3 structure.

## Properties
Total moment in μB/atom: 0.0000
E_form in meV/atom: -565

Cell lengths 8.008, 8.008, 8.008 Å; angles 90.00, 90.00, 90.00 degrees
Positions (direct):
1 Sr 0.057 0.557 0.943
2 Sr 0.943 0.057 0.557
3 Sr 0.443 0.443 0.443
4 Sr 0.557 0.943 0.057
5 Ga 0.689 0.577 0.020
6 Ga 0.923 0.980 0.189
7 Ga 0.020 0.689 0.577
8 Ga 0.077 0.480 0.311
9 Ga 0.311 0.077 0.480
10 Ga 0.189 0.923 0.980
11 Ga 0.980 0.189 0.923
12 Ga 0.423 0.520 0.811
13 Ga 0.480 0.311 0.077
14 Ga 0.577 0.020 0.689
15 Ga 0.811 0.423 0.520
16 Ga 0.520 0.811 0.423
17 Pd 0.820 0.320 0.180
18 Pd 0.881 0.881 0.881
19 Pd 0.807 0.693 0.307
20 Pd 0.180 0.820 0.320
21 Pd 0.193 0.193 0.193
22 Pd 0.307 0.807 0.693
23 Pd 0.119 0.381 0.619
24 Pd 0.320 0.180 0.820
25 Pd 0.693 0.307 0.807
26 Pd 0.680 0.680 0.680
27 Pd 0.619 0.119 0.381
28 Pd 0.381 0.619 0.119